Density functional theory data (PBE+U) for a relaxed structure of Li3NiSb4O12.

Geometry as CIF:
```
data_Li3NiSb4O12
_symmetry_space_group_name_H-M 'P 1'
_symmetry_Int_Tables_number 1
_symmetry_space_group_name_Hall 'P 1'
_cell_length_a 5.240
_cell_length_b 5.574
_cell_length_c 7.652
_cell_angle_alpha 94.72
_cell_angle_beta 90.02
_cell_angle_gamma 90.09
loop_
_atom_site_label
_atom_site_type_symbol
_atom_site_fract_x
_atom_site_fract_y
_atom_site_fract_z
Li1 Li 0.000 0.000 0.000
Li2 Li 0.002 0.004 0.491
Li3 Li 0.499 0.510 0.494
Ni1 Ni 0.500 0.536 0.986
Sb1 Sb 0.003 0.431 0.284
Sb2 Sb 0.497 0.943 0.778
Sb3 Sb 0.500 0.938 0.287
Sb4 Sb 0.999 0.430 0.778
O1 O 0.142 0.403 0.035
O2 O 0.161 0.096 0.730
O3 O 0.199 0.731 0.366
O4 O 0.304 0.235 0.366
O5 O 0.334 0.596 0.737
O6 O 0.369 0.894 0.037
O7 O 0.636 0.908 0.533
O8 O 0.673 0.601 0.226
O9 O 0.690 0.242 0.868
O10 O 0.798 0.728 0.866
O11 O 0.829 0.103 0.230
O12 O 0.865 0.411 0.533
```

total energy: -5.755 eV/atom
crystal system: triclinic